one) VASP calculation (PBE-GGA) on a geometry-optimized Rb5CdAu4 structure.

It has space group C2/m (No. 12), with a = 21.997 Å, b = 4.784 Å, c = 8.725 Å, α = 90.00°, β = 113.17° and γ = 90.00°. The asymmetric unit holds Rb at (0.000, 0.000, 0.000), Rb at (0.138, 0.500, 0.750), Rb at (0.194, 0.500, 0.293), Cd at (0.000, 0.000, 0.500), Au at (0.034, 0.500, 0.342) and Au at (0.121, 0.000, 0.442).

---

two) VASP calculation (PBE-GGA) on a geometry-optimized Rb5CdAu4 structure.

It has space group P4/mmm (No. 123), with a = 4.223 Å, b = 4.223 Å, c = 21.392 Å, α = 90.00°, β = 90.00° and γ = 90.00°. The asymmetric unit holds Rb at (0.000, 0.000, 0.000), Rb at (0.000, 0.000, 0.193), Rb at (0.000, 0.000, 0.383), Cd at (0.500, 0.500, 0.500), Au at (0.500, 0.500, 0.098) and Au at (0.500, 0.500, 0.295).

---

In order of decreasing stability: two), one).

---

one) VASP calculation (PBE-GGA) on a geometry-optimized Rb5Cd2Au5 structure.

It has space group C2/m (No. 12), with a = 17.400 Å, b = 4.701 Å, c = 13.153 Å, α = 90.00°, β = 125.68° and γ = 90.00°. The asymmetric unit holds Rb at (0.000, 0.000, 0.000), Rb at (0.134, 0.500, 0.826), Rb at (0.187, 0.500, 0.594), Cd at (0.107, 0.500, 0.273), Au at (0.000, 0.000, 0.500), Au at (0.059, 0.000, 0.344) and Au at (0.191, 0.500, 0.139).

---

two) VASP calculation (PBE-GGA) on a geometry-optimized Rb5Cd2Au5 structure.

It has space group C2/m (No. 12), with a = 14.954 Å, b = 4.959 Å, c = 12.734 Å, α = 90.00°, β = 104.28° and γ = 90.00°. The asymmetric unit holds Rb at (0.000, 0.000, 0.000), Rb at (0.158, 0.000, 0.566), Rb at (0.238, 0.500, 0.134), Cd at (0.066, 0.500, 0.312), Au at (0.000, 0.500, 0.500), Au at (0.097, 0.500, 0.864) and Au at (0.149, 0.000, 0.287).

---

In order of decreasing stability: one), two).

---

one) VASP calculation (PBE-GGA) on a geometry-optimized RbCd6Au2 structure.

It has space group P4/mmm (No. 123), with a = 5.255 Å, b = 5.255 Å, c = 8.498 Å, α = 90.00°, β = 90.00° and γ = 90.00°. The asymmetric unit holds Rb at (0.000, 0.000, 0.000), Cd at (0.000, 0.000, 0.500), Cd at (0.000, 0.500, 0.302), Cd at (0.500, 0.500, 0.500) and Au at (0.500, 0.500, 0.161).

---

two) VASP calculation (PBE-GGA) on a geometry-optimized RbCd6Au2 structure.

It has space group Fd-3m (No. 227, origin choice 2), with a = 13.520 Å, b = 13.520 Å, c = 13.520 Å, α = 90.00°, β = 90.00° and γ = 90.00°. The asymmetric unit holds Rb at (0.125, 0.125, 0.125), Cd at (0.099, 0.375, 0.875) and Au at (0.000, 0.000, 0.500).

---

In order of decreasing stability: one), two).

---

one) VASP calculation (PBE-GGA) on a geometry-optimized Rb3CdAu4 structure.

It has space group Imm2 (No. 44), with a = 6.906 Å, b = 8.847 Å, c = 9.110 Å, α = 90.00°, β = 90.00° and γ = 90.00°. The asymmetric unit holds Rb at (0.000, 0.000, 0.000), Rb at (0.000, 0.259, 0.656), Cd at (0.000, 0.500, 0.089), Au at (0.000, 0.256, 0.277) and Au at (0.204, 0.000, 0.387).

---

two) VASP calculation (PBE-GGA) on a geometry-optimized Rb3CdAu4 structure.

It has space group Imm2 (No. 44), with a = 7.044 Å, b = 7.693 Å, c = 9.631 Å, α = 90.00°, β = 90.00° and γ = 90.00°. The asymmetric unit holds Rb at (0.000, 0.000, 0.000), Rb at (0.000, 0.246, 0.360), Cd at (0.000, 0.500, 0.975), Au at (0.000, 0.317, 0.720) and Au at (0.194, 0.000, 0.648).

---

In order of decreasing stability: two), one).

---

one) VASP calculation (PBE-GGA) on a geometry-optimized RbCd2RhAu structure.

It has space group P4/mmm (No. 123), with a = 5.229 Å, b = 5.229 Å, c = 5.333 Å, α = 90.00°, β = 90.00° and γ = 90.00°. The asymmetric unit holds Rb at (0.000, 0.000, 0.000), Cd at (0.000, 0.500, 0.500), Rh at (0.500, 0.500, 0.500) and Au at (0.500, 0.500, 0.000).

---

two) VASP calculation (PBE-GGA) on a geometry-optimized RbCd2RhAu structure.

It has space group P4/mmm (No. 123), with a = 5.273 Å, b = 5.273 Å, c = 6.033 Å, α = 90.00°, β = 90.00° and γ = 90.00°. The asymmetric unit holds Rb at (0.000, 0.000, 0.000), Cd at (0.000, 0.500, 0.500), Rh at (0.500, 0.500, 0.000) and Au at (0.000, 0.000, 0.500).

---

In order of decreasing stability: one), two).

---

one) VASP calculation (PBE-GGA) on a geometry-optimized RbTlCd2Au structure.

It has space group P4/mmm (No. 123), with a = 5.441 Å, b = 5.441 Å, c = 5.679 Å, α = 90.00°, β = 90.00° and γ = 90.00°. The asymmetric unit holds Rb at (0.000, 0.000, 0.000), Tl at (0.500, 0.500, 0.000), Cd at (0.000, 0.500, 0.500) and Au at (0.500, 0.500, 0.500).

---

two) VASP calculation (PBE-GGA) on a geometry-optimized RbTlCd2Au structure.

It has space group Imm2 (No. 44), with a = 4.913 Å, b = 4.977 Å, c = 12.539 Å, α = 90.00°, β = 90.00° and γ = 90.00°. The asymmetric unit holds Rb at (0.000, 0.000, 0.000), Tl at (0.000, 0.500, 0.758), Cd at (0.000, 0.000, 0.612), Cd at (0.000, 0.500, 0.264) and Au at (0.000, 0.000, 0.389).

---

In order of decreasing stability: two), one).

---

one) VASP calculation (PBE-GGA) on a geometry-optimized RbTlCdAu structure.

It has space group R3m (No. 160, hexagonal axes), with a = 4.9431 Å, b = 4.9431 Å, c = 19.2407 Å, α = 90.00°, β = 90.00° and γ = 120.00°. The asymmetric unit holds Rb at (0.0000, 0.0000, 0.0000), Tl at (0.0000, 0.0000, 0.2004), Cd at (0.0000, 0.0000, 0.4677) and Au at (0.0000, 0.0000, 0.8041).

---

two) VASP calculation (PBE-GGA) on a geometry-optimized RbTlCdAu structure.

It has space group F-43m (No. 216), with a = 7.935 Å, b = 7.935 Å, c = 7.935 Å, α = 90.00°, β = 90.00° and γ = 90.00°. The asymmetric unit holds Rb at (0.000, 0.000, 0.000), Tl at (0.000, 0.000, 0.500), Cd at (0.250, 0.250, 0.250) and Au at (0.250, 0.250, 0.750).

---

In order of decreasing stability: one), two).

---

one) VASP calculation (PBE-GGA) on a geometry-optimized CdReAu structure.

It has space group P3m1 (No. 156), with a = 2.8689 Å, b = 2.8689 Å, c = 7.2733 Å, α = 90.00°, β = 90.00° and γ = 120.00°. The asymmetric unit holds Cd at (0.0000, 0.0000, 0.0000), Re at (0.6667, 0.3333, 0.3352) and Au at (0.3333, 0.6667, 0.6531).

---

two) VASP calculation (PBE-GGA) on a geometry-optimized CdReAu structure.

It has space group I4mm (No. 107), with a = 2.796 Å, b = 2.796 Å, c = 13.338 Å, α = 90.00°, β = 90.00° and γ = 90.00°. The asymmetric unit holds Cd at (0.000, 0.000, 0.000), Re at (0.000, 0.000, 0.667) and Au at (0.000, 0.000, 0.324).

---

three) VASP calculation (PBE-GGA) on a geometry-optimized CdReAu structure.

It has space group F-43m (No. 216), with a = 6.296 Å, b = 6.296 Å, c = 6.296 Å, α = 90.00°, β = 90.00° and γ = 90.00°. The asymmetric unit holds Cd at (0.000, 0.000, 0.000), Re at (0.000, 0.000, 0.500) and Au at (0.250, 0.250, 0.750).

---

four) VASP calculation (PBE-GGA) on a geometry-optimized CdReAu structure.

It has space group Fmm2 (No. 42), with a = 3.119 Å, b = 4.610 Å, c = 14.561 Å, α = 90.00°, β = 90.00° and γ = 90.00°. The asymmetric unit holds Cd at (0.000, 0.000, 0.000), Re at (0.000, 0.000, 0.667) and Au at (0.000, 0.000, 0.330).

---

In order of decreasing stability: one), two), four), three).